## Cd9Ag2Bi (PBE-GGA)

Data for a relaxed Cd9Ag2Bi crystal.

Cell: 13.7817 13.7817 5.9778 Å, 90.00 90.00 90.00°
Closest atoms and distances in Å follow each position.
Space group I4_1/amd (No. 141, origin choice 2)
One atom of each set of equivalent atoms:
Cd (0.0000, 0.2500, 0.3750)  2 Bi 2.99, 8 Cd 3.21
Cd (0.1274, 0.0852, 0.1338)  3 Cd 2.84-3.18, 2 Ag 2.91-3.04
Ag (0.0000, 0.0000, 0.5000)  8 Cd 2.91-3.04
Bi (0.0000, 0.2500, 0.8750)  10 Cd 2.99-3.26

Properties
DFT total energy = -1.441 eV per atom
ΔH_f (0 K) = 0.04 eV/atom
Size of the total moment = 0.000 μB per atom